[1]
Density functional theory data (PBE) for a geometry-optimized SmEr2Sb structure.

abc: 7.5968 7.5968 7.5968
angles: 90.00 90.00 90.00
Space group Fm-3m (No. 225)
One atom of each set of equivalent atoms:
Sm (0.0000, 0.0000, 0.0000) [4 per cell]
Er (0.2500, 0.2500, 0.2500) [8 per cell]
Sb (0.0000, 0.0000, 0.5000) [4 per cell]

Values from the calculation:
For the raw formation energy, the calculation gives -0.23 eV per atom. Its total magnetization is 0.00 μB/cell. The total energy is -0.347 Ry/atom.

---

[2]
Density functional theory data (PBE) for a geometry-optimized Sm8ErSb6 structure.

abc: 8.0859 8.0859 25.6555
angles: 90.00 90.00 120.00
Space group R-3 (No. 148, hexagonal axes)
One atom of each set of equivalent atoms:
Sm (0.0000, 0.0000, 0.1667) [6 per cell]
Sm (0.0016, 0.3389, 0.3787) [18 per cell]
Er (0.0000, 0.0000, 0.5000) [3 per cell]
Sb (0.0011, 0.3281, 0.5660) [18 per cell]

Values from the calculation:
For the raw formation energy, the calculation gives -0.79 eV per atom. Its total magnetization is 0.00 μB/cell. The total energy is -0.387 Ry/atom.

---

[3]
Density functional theory data (PBE) for a geometry-optimized Sm5Er2Sb4 structure.

abc: 17.0713 4.0836 10.7989
angles: 90.00 107.90 90.00
Space group C2/m (No. 12)
One atom of each set of equivalent atoms:
Sm (0.0000, 0.0000, 0.0000) [2 per cell]
Sm (0.1074, 0.5000, 0.5798) [4 per cell]
Sm (0.1963, 0.5000, 0.2307) [4 per cell]
Er (0.1736, 0.5000, 0.9060) [4 per cell]
Sb (0.0112, 0.5000, 0.2465) [4 per cell]
Sb (0.1791, 0.0000, 0.4322) [4 per cell]

Values from the calculation:
For the raw formation energy, the calculation gives -0.38 eV per atom. Its total magnetization is 1.10 μB/cell. The total energy is -0.357 Ry/atom.

---

[4]
Density functional theory data (PBE) for a geometry-optimized SmErSb2 structure.

abc: 4.4145 4.4145 21.5945
angles: 90.00 90.00 120.00
Space group R-3m (No. 166, hexagonal axes)
One atom of each set of equivalent atoms:
Sm (0.0000, 0.0000, 0.0000) [3 per cell]
Er (0.0000, 0.0000, 0.5000) [3 per cell]
Sb (0.0000, 0.0000, 0.2474) [6 per cell]

Values from the calculation:
For the raw formation energy, the calculation gives -1.13 eV per atom. Its total magnetization is 0.00 μB/cell. The total energy is -0.405 Ry/atom.

---

[5]
Density functional theory data (PBE) for a geometry-optimized Sm4ErSb4 structure.

abc: 7.9899 7.9899 9.9096
angles: 90.00 90.00 90.00
Space group I-42m (No. 121)
One atom of each set of equivalent atoms:
Sm (0.0000, 0.0000, 0.1708) [4 per cell]
Sm (0.0000, 0.5000, 0.0000) [4 per cell]
Er (0.0000, 0.0000, 0.5000) [2 per cell]
Sb (0.2333, 0.2333, 0.6417) [8 per cell]

Values from the calculation:
For the raw formation energy, the calculation gives -0.62 eV per atom. Its total magnetization is 0.00 μB/cell. The total energy is -0.372 Ry/atom.

---

[6]
Density functional theory data (PBE) for a geometry-optimized Sm3ErSb2 structure.

abc: 4.5267 4.5267 8.6645
angles: 90.00 90.00 90.00
Space group P-4m2 (No. 115)
One atom of each set of equivalent atoms:
Sm (0.0000, 0.0000, 0.0000) [1 per cell]
Sm (0.0000, 0.5000, 0.6472) [2 per cell]
Er (0.5000, 0.5000, 0.0000) [1 per cell]
Sb (0.0000, 0.5000, 0.2770) [2 per cell]

Values from the calculation:
For the raw formation energy, the calculation gives -0.82 eV per atom. Its total magnetization is 0.00 μB/cell. The total energy is -0.391 Ry/atom.

---

[7]
Density functional theory data (PBE) for a geometry-optimized SmEr2Sb structure.

abc: 4.8059 4.8059 4.7541
angles: 90.00 90.00 90.00
Space group P4/mmm (No. 123)
One atom of each set of equivalent atoms:
Sm (0.0000, 0.0000, 0.0000) [1 per cell]
Er (0.0000, 0.5000, 0.5000) [2 per cell]
Sb (0.5000, 0.5000, 0.0000) [1 per cell]

Values from the calculation:
For the raw formation energy, the calculation gives -0.47 eV per atom. Its total magnetization is 0.00 μB/cell. The total energy is -0.365 Ry/atom.

---

[8]
Density functional theory data (PBE) for a geometry-optimized Sm2ErSb structure.

abc: 4.0438 4.0438 28.9387
angles: 90.00 90.00 120.00
Space group R-3m (No. 166, hexagonal axes)
One atom of each set of equivalent atoms:
Sm (0.0000, 0.0000, 0.2352) [6 per cell]
Er (0.0000, 0.0000, 0.0000) [3 per cell]
Sb (0.0000, 0.0000, 0.5000) [3 per cell]

Values from the calculation:
For the raw formation energy, the calculation gives -0.29 eV per atom. Its total magnetization is 3.24 μB/cell. The total energy is -0.355 Ry/atom.